1.
Compound: Ru2WCl
Source: Alexandria
Functional: PBE
Structure: optimized geometry

Values from the calculation:
Relative energy among the computed polymorphs ... 566 meV per atom
Uncorrected formation energy ... 3.508 eV/f.u.
DFT total energy ... -7.461 eV/atom
DOS at the Fermi energy ... 1.359 states/eV per atom

Cell: 4.6057 4.6057 2.8726 Å, 90.00 90.00 90.00°
With the nearest neighbours (Å) after each atom.
Space group P4/mmm (No. 123)
Symmetry-distinct sites (fractional):
Ru: 0.0000 0.5000 0.0000 x2  4 Cl 2.71, 4 W 2.71, 2 Ru 2.87
W: 0.0000 0.0000 0.5000 x1  8 Ru 2.71, 2 W 2.87
Cl: 0.5000 0.5000 0.5000 x1  8 Ru 2.71, 2 Cl 2.87



2.
Compound: RuW2Cl
Source: Alexandria
Functional: PBE
Structure: optimized geometry

Values from the calculation:
Relative energy among the computed polymorphs ... 328 meV per atom
Uncorrected formation energy ... 2.529 eV/f.u.
DFT total energy ... -8.625 eV/atom
DOS at the Fermi energy ... 0.888 states/eV per atom

Cell: 2.9295 4.8412 8.9894 Å, 90.00 90.00 90.00°
With the nearest neighbours (Å) after each atom.
Space group Cmmm (No. 65)
Symmetry-distinct sites (fractional):
Ru: 0.0000 0.0000 0.0000 x2  4 W 2.64, 6 Ru 2.83-2.93
W: 0.0000 0.5000 0.2447 x4  2 Ru 2.64, 2 Cl 2.72, 6 W 2.83-2.93
Cl: 0.0000 0.0000 0.5000 x2  4 W 2.72, 6 Cl 2.83-2.93